(1)
# PBE Dy2ZrCd, relaxed
# - ΔE to the lowest computed polymorph: 0 meV/atom
# - Density of states at the Fermi level: 1.1332 states/eV/atom
# - Spin magnetization: 0.0 μB/cell
# - Calculated total energy: -19.163 eV for the cell shown
# - Calculated density: 8.268 Mg/m³
# - Energy of formation from the pure elements: -124 meV per atom
data_Dy2ZrCd
_cell_length_a 3.438
_cell_length_b 3.438
_cell_length_c 8.980
_cell_angle_alpha 90.00
_cell_angle_beta 90.00
_cell_angle_gamma 90.00
_symmetry_space_group_name_H-M 'P 4/m m m'
_symmetry_Int_Tables_number 123
_symmetry_space_group_name_Hall '-P 4 2'
loop_
_atom_site_label
_atom_site_type_symbol
_atom_site_fract_x
_atom_site_fract_y
_atom_site_fract_z
Dy1 Dy 0.000 0.000 0.246
Zr1 Zr 0.500 0.500 0.500
Cd1 Cd 0.500 0.500 0.000



(2)
# PBE As2IrBr, relaxed
# - ΔE to the lowest computed polymorph: 124 meV/atom
# - Density of states at the Fermi level: 0.5223 states/eV/atom
# - Spin magnetization: 0.0 μB/cell
# - Calculated total energy: -60.165 eV for the cell shown
# - Calculated density: 8.302 Mg/m³
data_As2IrBr
_cell_length_a 3.6519
_cell_length_b 3.6519
_cell_length_c 21.9222
_cell_angle_alpha 90.00
_cell_angle_beta 90.00
_cell_angle_gamma 120.00
_symmetry_space_group_name_H-M 'R -3 m'
_symmetry_Int_Tables_number 166
_symmetry_space_group_name_Hall '-R 3 2"'
loop_
_atom_site_label
_atom_site_type_symbol
_atom_site_fract_x
_atom_site_fract_y
_atom_site_fract_z
As1 As 0.0000 0.0000 0.2294
Ir1 Ir 0.0000 0.0000 0.5000
Br1 Br 0.0000 0.0000 0.0000



(3)
# PBE ZnTcAs2Se, relaxed
# - ΔE to the lowest computed polymorph: 0 meV/atom
# - Density of states at the Fermi level: 0.8051 states/eV/atom
# - Spin magnetization: 0.0 μB/cell
# - Calculated total energy: -22.098 eV for the cell shown
# - Calculated density: 5.495 Mg/m³
data_ZnTcAs2Se
_cell_length_a 4.682
_cell_length_b 4.682
_cell_length_c 5.406
_cell_angle_alpha 90.00
_cell_angle_beta 90.00
_cell_angle_gamma 90.00
_symmetry_space_group_name_H-M 'P 4/m m m'
_symmetry_Int_Tables_number 123
_symmetry_space_group_name_Hall '-P 4 2'
loop_
_atom_site_label
_atom_site_type_symbol
_atom_site_fract_x
_atom_site_fract_y
_atom_site_fract_z
Zn1 Zn 0.000 0.000 0.000
Tc1 Tc 0.500 0.500 0.500
As1 As 0.000 0.500 0.500
Se1 Se 0.500 0.500 0.000



(4)
# PBE In2Pd5Pt, relaxed
# - Density of states at the Fermi level: 1.0989 states/eV/atom
# - Spin magnetization: 0.0 μB/cell
# - Calculated total energy: -81.780 eV for the cell shown
# - Calculated density: 12.064 Mg/m³
# - Energy of formation from the pure elements: -426 meV per atom
data_In2Pd5Pt
_cell_length_a 5.683
_cell_length_b 11.368
_cell_length_c 4.077
_cell_angle_alpha 90.00
_cell_angle_beta 90.00
_cell_angle_gamma 90.00
_symmetry_space_group_name_H-M 'P b a m'
_symmetry_Int_Tables_number 55
_symmetry_space_group_name_Hall '-P 2 2ab'
loop_
_atom_site_label
_atom_site_type_symbol
_atom_site_fract_x
_atom_site_fract_y
_atom_site_fract_z
In1 In 0.245 0.126 0.000
Pd1 Pd 0.000 0.000 0.500
Pd2 Pd 0.005 0.749 0.500
Pd3 Pd 0.246 0.376 0.000
Pt1 Pt 0.000 0.500 0.500



(5)
# PBE Tb2ZnSiPt6, relaxed
# - Density of states at the Fermi level: 0.4458 states/eV/atom
# - Spin magnetization: 0.0 μB/cell
# - Calculated total energy: -229.496 eV for the cell shown
# - Calculated density: 13.201 Mg/m³
data_Tb2ZnSiPt6
_cell_length_a 9.267
_cell_length_b 9.267
_cell_length_c 9.267
_cell_angle_alpha 90.00
_cell_angle_beta 90.00
_cell_angle_gamma 90.00
_symmetry_space_group_name_H-M 'F m -3 m'
_symmetry_Int_Tables_number 225
_symmetry_space_group_name_Hall '-F 4 2 3'
loop_
_atom_site_label
_atom_site_type_symbol
_atom_site_fract_x
_atom_site_fract_y
_atom_site_fract_z
Tb1 Tb 0.250 0.250 0.250
Zn1 Zn 0.000 0.000 0.000
Si1 Si 0.000 0.000 0.500
Pt1 Pt 0.000 0.000 0.256



(6)
# PBE LiSc3Fe, relaxed
# - ΔE to the lowest computed polymorph: 0 meV/atom
# - Density of states at the Fermi level: 0.8783 states/eV/atom
# - Spin magnetization: 0.0 μB/cell
# - Calculated total energy: -28.953 eV for the cell shown
# - Calculated density: 2.821 Mg/m³
# - Energy of formation from the pure elements: 84 meV per atom
data_LiSc3Fe
_cell_length_a 4.882
_cell_length_b 4.882
_cell_length_c 4.882
_cell_angle_alpha 90.00
_cell_angle_beta 90.00
_cell_angle_gamma 90.00
_symmetry_space_group_name_H-M 'P m -3 m'
_symmetry_Int_Tables_number 221
_symmetry_space_group_name_Hall '-P 4 2 3'
loop_
_atom_site_label
_atom_site_type_symbol
_atom_site_fract_x
_atom_site_fract_y
_atom_site_fract_z
Li1 Li 0.000 0.000 0.000
Sc1 Sc 0.000 0.500 0.500
Fe1 Fe 0.500 0.500 0.500



(7)
# PBE GaHg2F8, relaxed
# - Density of states at the Fermi level: 0.5530 states/eV/atom
# - Spin magnetization: 1.8 μB/cell
# - Calculated total energy: -74.448 eV for the cell shown
# - Calculated density: 6.285 Mg/m³
data_GaHg2F8
_cell_length_a 9.409
_cell_length_b 7.062
_cell_length_c 4.958
_cell_angle_alpha 90.00
_cell_angle_beta 92.41
_cell_angle_gamma 90.00
_symmetry_space_group_name_H-M 'C 1 2/m 1'
_symmetry_Int_Tables_number 12
_symmetry_space_group_name_Hall '-C 2y'
loop_
_atom_site_label
_atom_site_type_symbol
_atom_site_fract_x
_atom_site_fract_y
_atom_site_fract_z
Ga1 Ga 0.000 0.000 0.000
Hg1 Hg 0.142 0.500 0.250
F1 F 0.085 0.500 0.742
F2 F 0.120 0.183 0.182
F3 F 0.131 0.000 0.707



(8)
# PBE CsCoPd2N, relaxed
# - Density of states at the Fermi level: 1.1304 states/eV/atom
# - Spin magnetization: 0.6 μB/cell
# - Calculated total energy: -23.699 eV for the cell shown
# - Calculated density: 7.237 Mg/m³
data_CsCoPd2N
_cell_length_a 5.293
_cell_length_b 5.293
_cell_length_c 3.428
_cell_angle_alpha 90.00
_cell_angle_beta 90.00
_cell_angle_gamma 90.00
_symmetry_space_group_name_H-M 'P 4/m m m'
_symmetry_Int_Tables_number 123
_symmetry_space_group_name_Hall '-P 4 2'
loop_
_atom_site_label
_atom_site_type_symbol
_atom_site_fract_x
_atom_site_fract_y
_atom_site_fract_z
Cs1 Cs 0.000 0.000 0.000
Co1 Co 0.500 0.500 0.500
Pd1 Pd 0.000 0.500 0.500
N1 N 0.500 0.500 0.000